First-principles (PBE) data for a relaxed structure of BaCd4Ge3, as listed in Alexandria.

Output
Calculated formation energy in eV/atom: -0.205
Symmetry: P4/mmm (123)
DOS at the Fermi energy in states/eV/cell: 1.60
Size of the total moment in μB/f.u.: 0.00

Unit cell a=4.8245 b=4.8245 c=8.6559 alpha=90.00 beta=90.00 gamma=90.00
Element x y z (fractional)
Ge  0.0000  0.0000  0.0000
Ge  0.5000  0.5000  0.3548
Ge  0.5000  0.5000  0.6452
Ba  0.0000  0.0000  0.5000
Cd  0.5000  0.0000  0.1807
Cd  0.0000  0.5000  0.1807
Cd  0.5000  0.0000  0.8193
Cd  0.0000  0.5000  0.8193

***

First-principles (PBE) data for a relaxed structure of Ba5CdGe2, as listed in Alexandria.

Output
Calculated formation energy in eV/atom: -0.410
Symmetry: I4/mcm (140)
DOS at the Fermi energy in states/eV/cell: 14.46
Size of the total moment in μB/f.u.: 0.00

Unit cell a=8.7091 b=8.7091 c=10.7709 alpha=113.85 beta=113.85 gamma=90.00
Element x y z (fractional)
Ba  0.5388  0.6916  0.7303
Ba  0.8084  0.9612  0.2697
Ba  0.0000  0.0000  0.0000
Ba  0.5000  0.5000  0.0000
Ba  0.1916  0.0388  0.7303
Ba  0.6916  0.1916  0.7303
Ba  0.0388  0.5388  0.7303
Ba  0.3084  0.8084  0.2697
Ba  0.9612  0.4612  0.2697
Ba  0.4612  0.3084  0.2697
Cd  0.7500  0.7500  0.5000
Cd  0.2500  0.2500  0.5000
Ge  0.1079  0.3921  0.0000
Ge  0.6079  0.1079  0.0000
Ge  0.3921  0.8921  0.0000
Ge  0.8921  0.6079  0.0000